1.
A plane-wave DFT calculation with PBE was carried out for an optimized crystal structure of Pm4NiSe2Cl.

```
data_Pm4NiSe2Cl
_symmetry_space_group_name_H-M 'P 1 2/m 1'
_symmetry_Int_Tables_number 10
_symmetry_space_group_name_Hall '-P 2y'
_cell_length_a 7.2557
_cell_length_b 4.0112
_cell_length_c 7.3075
_cell_angle_alpha 90.00
_cell_angle_beta 108.50
_cell_angle_gamma 90.00
loop_
_atom_site_label
_atom_site_type_symbol
_atom_site_fract_x
_atom_site_fract_y
_atom_site_fract_z
Pm1 Pm 0.2265 0.0000 0.2287
Pm2 Pm 0.2390 0.5000 0.7503
Ni1 Ni 0.0000 0.5000 0.0000
Se1 Se 0.0000 0.0000 0.5000
Se2 Se 0.5000 0.5000 0.5000
Cl1 Cl 0.5000 0.0000 0.0000
```

Values from the calculation:
Final energy   -44.422 eV/cell
E_form (uncorrected)   -1.353 eV per atom
Theoretical density   6.85 g/cm3

***

2.
A plane-wave DFT calculation with PBE was carried out for an optimized crystal structure of Pm4SiNiCl2.

```
data_Pm4SiNiCl2
_symmetry_space_group_name_H-M 'P 1 2/m 1'
_symmetry_Int_Tables_number 10
_symmetry_space_group_name_Hall '-P 2y'
_cell_length_a 7.3258
_cell_length_b 4.0358
_cell_length_c 7.3542
_cell_angle_alpha 90.00
_cell_angle_beta 107.89
_cell_angle_gamma 90.00
loop_
_atom_site_label
_atom_site_type_symbol
_atom_site_fract_x
_atom_site_fract_y
_atom_site_fract_z
Pm1 Pm 0.2217 0.0000 0.2106
Pm2 Pm 0.2547 0.5000 0.7720
Si1 Si 0.5000 0.0000 0.0000
Ni1 Ni 0.0000 0.5000 0.0000
Cl1 Cl 0.0000 0.0000 0.5000
Cl2 Cl 0.5000 0.5000 0.5000
```

Values from the calculation:
Final energy   -41.928 eV/cell
E_form (uncorrected)   -1.004 eV per atom
Theoretical density   5.92 g/cm3